EuSnS2 | PBE | relaxed

Calculated values
Theoretical density = 5.4 Mg/m³
ΔE_f (raw) = -1235 meV/atom

```
4
Lattice="2.087 1.205 6.838 -2.087 1.205 6.838 0.000 -2.410 6.838" Properties=species:S:1:pos:R:3 pbc="T T T"
Eu 0.000 0.000 0.000
Sn 0.000 0.000 10.257
S 0.000 0.000 5.165
S 0.000 0.000 15.349
```